Record 1
A geometry-optimized LaHoO3 structure. Source: the Open Quantum Materials Database, functional PBE-GGA.

Cell and atoms, written as POSCAR:
```
LaHoO3
1.0
-0.082 -5.235 -2.821
-0.354 -5.052 3.117
-5.272 -3.218 -0.143
Ho La O
2 2 6
Direct
0.854 0.854 0.438
0.146 0.146 0.562
0.633 0.633 0.101
0.367 0.367 0.899
0.547 0.227 0.259
0.227 0.968 0.259
0.968 0.547 0.259
0.032 0.453 0.741
0.773 0.032 0.741
0.453 0.773 0.741
```

Output
Crystal system = trigonal
Final energy = -41.73 eV per formula unit

***

Record 2
A geometry-optimized La2HoO4 structure. Source: the Open Quantum Materials Database, functional PBE-GGA.

Cell and atoms, written as POSCAR:
```
La2HoO4
1.0
4.982 -4.982 0.000
-4.982 0.000 -4.982
4.982 4.982 0.000
Ho La O
2 4 8
Direct
0.000 0.000 0.000
0.750 0.500 0.250
0.375 0.750 0.125
0.875 0.250 0.625
0.375 0.750 0.625
0.375 0.250 0.625
0.124 0.249 0.373
0.123 0.749 0.374
0.626 0.251 0.374
0.626 0.749 0.374
0.124 0.751 0.876
0.124 0.249 0.876
0.627 0.751 0.876
0.626 0.251 0.877
```

Output
Crystal system = cubic
Final energy = -56.31 eV per formula unit

***

Record 3
A geometry-optimized LaHoPO structure. Source: the Open Quantum Materials Database, functional PBE-GGA.

Cell and atoms, written as POSCAR:
```
LaHoPO
1.0
-0.041 3.786 -1.868
-3.957 -0.686 -1.304
-3.206 3.783 7.739
Ho La O P
2 2 2 2
Direct
0.250 0.250 0.098
0.750 0.750 0.902
0.750 0.250 0.500
0.250 0.750 0.500
0.750 0.250 0.000
0.250 0.750 0.000
0.750 0.750 0.282
0.250 0.250 0.718
```

Output
Crystal system = tetragonal
Distance to the lowest polymorph of the same formula = 242 meV per atom

***

Record 4
A geometry-optimized LaHoPO structure. Source: the Open Quantum Materials Database, functional PBE-GGA.

Cell and atoms, written as POSCAR:
```
LaHoPO
1.0
4.360 0.000 0.000
0.000 7.421 0.000
0.000 0.000 6.088
Ho La O P
2 2 2 2
Direct
0.000 0.881 0.010
0.000 0.119 0.510
0.500 0.701 0.439
0.500 0.299 0.939
0.000 0.843 0.371
0.000 0.157 0.871
0.500 0.315 0.434
0.500 0.685 0.934
```

Output
Crystal system = orthorhombic
Distance to the lowest polymorph of the same formula = 0 meV per atom

***

Record 5
A geometry-optimized LaHoPO structure. Source: the Open Quantum Materials Database, functional PBE-GGA.

Cell and atoms, written as POSCAR:
```
LaHoPO
1.0
3.117 -3.117 0.000
3.117 3.117 0.000
0.000 0.000 9.010
Ho La O P
2 2 2 2
Direct
0.750 0.250 0.500
0.250 0.750 0.500
0.250 0.250 0.115
0.750 0.750 0.885
0.750 0.250 0.000
0.250 0.750 0.000
0.750 0.750 0.318
0.250 0.250 0.682
```

Output
Crystal system = tetragonal
Distance to the lowest polymorph of the same formula = 30 meV per atom

***

Record 6
A geometry-optimized LaHoSO2 structure. Source: the Open Quantum Materials Database, functional PBE-GGA.

Cell and atoms, written as POSCAR:
```
LaHoSO2
1.0
-3.668 1.340 0.289
0.780 -3.098 -2.264
-1.085 -4.097 5.231
Ho La O S
1 1 2 1
Direct
0.000 0.000 0.284
0.667 0.333 0.723
0.667 0.333 0.361
0.000 0.000 0.619
0.333 0.667 0.013
```

Output
Crystal system = trigonal
Final energy = -39.39 eV per formula unit

***

Record 7
A geometry-optimized La2HoSbO6 structure. Source: the Open Quantum Materials Database, functional PBE-GGA.

Cell and atoms, written as POSCAR:
```
La2HoSbO6
1.0
5.882 0.000 0.000
0.000 6.082 0.000
-5.880 0.000 8.506
Ho La O Sb
2 4 12 2
Direct
0.500 0.500 0.000
0.500 0.000 0.500
0.764 0.945 0.249
0.236 0.445 0.251
0.764 0.555 0.749
0.236 0.055 0.751
0.750 0.191 0.068
0.880 0.687 0.071
0.610 0.560 0.245
0.390 0.060 0.255
0.120 0.187 0.429
0.250 0.691 0.432
0.750 0.309 0.568
0.880 0.813 0.571
0.610 0.940 0.745
0.390 0.440 0.755
0.120 0.313 0.929
0.250 0.809 0.932
0.000 0.000 0.000
0.000 0.500 0.500
```

Output
Crystal system = monoclinic
Final energy = -76.82 eV per formula unit

***

Record 8
A geometry-optimized La2HoP3 structure. Source: the Open Quantum Materials Database, functional PBE-GGA.

Cell and atoms, written as POSCAR:
```
La2HoP3
1.0
4.177 0.000 0.000
-2.088 3.617 0.000
0.000 0.000 10.231
Ho La P
1 2 3
Direct
0.000 0.000 0.500
0.667 0.333 0.174
0.333 0.667 0.826
0.000 0.000 0.000
0.333 0.667 0.347
0.667 0.333 0.653
```

Output
Crystal system = trigonal
Final energy = -40.10 eV per formula unit

***

Record 9
A geometry-optimized LaHoZn2Pb2 structure. Source: the Open Quantum Materials Database, functional PBE-GGA.

Cell and atoms, written as POSCAR:
```
LaHoZn2Pb2
1.0
-4.653 0.039 -0.471
2.696 -1.442 -3.539
-0.703 -15.279 5.689
Ho La Pb Zn
2 2 4 4
Direct
0.000 0.000 0.000
0.000 0.000 0.500
0.000 0.000 0.250
0.000 0.000 0.750
0.333 0.667 0.106
0.333 0.667 0.394
0.667 0.333 0.606
0.667 0.333 0.894
0.667 0.333 0.158
0.667 0.333 0.342
0.333 0.667 0.658
0.333 0.667 0.842
```

Output
Crystal system = hexagonal
Distance to the lowest polymorph of the same formula = 41 meV per atom

***

Record 10
A geometry-optimized LaHoZn2Pb2 structure. Source: the Open Quantum Materials Database, functional PBE-GGA.

Cell and atoms, written as POSCAR:
```
LaHoZn2Pb2
1.0
-1.158 2.583 -3.660
-3.264 -2.313 2.325
-2.206 13.136 9.970
Ho La Pb Zn
2 2 4 4
Direct
0.000 0.000 0.250
0.000 0.000 0.750
0.000 0.000 0.000
0.000 0.000 0.500
0.333 0.667 0.117
0.333 0.667 0.383
0.667 0.333 0.617
0.667 0.333 0.883
0.667 0.333 0.169
0.667 0.333 0.331
0.333 0.667 0.669
0.333 0.667 0.831
```

Output
Crystal system = hexagonal
Distance to the lowest polymorph of the same formula = 0 meV per atom

***

Record 11
A geometry-optimized LaHoPd structure. Source: the Open Quantum Materials Database, functional PBE-GGA.

Cell and atoms, written as POSCAR:
```
LaHoPd
1.0
2.496 1.441 4.075
-2.496 1.441 4.075
0.000 -2.882 4.075
Ho La Pd
1 1 1
Direct
0.750 0.750 0.750
0.250 0.250 0.250
0.000 0.000 0.000
```

Output
Crystal system = cubic
Energy of formation = -427.2 meV per atom

***

Record 12
A geometry-optimized LaPr3Ho2Te2Pd structure. Source: the Open Quantum Materials Database, functional PBE-GGA.

Cell and atoms, written as POSCAR:
```
LaPr3Ho2Te2Pd
1.0
4.051 0.000 0.000
0.000 7.531 4.291
0.000 -7.531 4.291
Ho La Pd Pr Te
2 1 1 3 2
Direct
0.000 0.000 0.757
0.000 0.757 0.000
0.000 0.247 0.247
0.500 0.984 0.984
0.500 0.410 0.003
0.500 0.003 0.410
0.500 0.590 0.590
0.000 0.675 0.335
0.000 0.335 0.675
```

Output
Crystal system = orthorhombic
Final energy = -47.58 eV per formula unit

***

Record 13
A geometry-optimized La2HoSn3PdPt2 structure. Source: the Open Quantum Materials Database, functional PBE-GGA.

Cell and atoms, written as POSCAR:
```
La2HoSn3PdPt2
1.0
4.143 0.000 0.000
0.000 6.623 3.840
0.000 -6.623 3.840
Ho La Pd Pt Sn
1 2 1 2 3
Direct
0.000 0.590 0.590
0.000 0.415 0.001
0.000 0.001 0.415
0.000 0.992 0.992
0.500 0.663 0.342
0.500 0.342 0.663
0.500 0.253 0.253
0.500 0.995 0.748
0.500 0.748 0.995
```

Output
Crystal system = orthorhombic
Final energy = -53.10 eV per formula unit

***

Record 14
A geometry-optimized LaPrHo structure. Source: the Open Quantum Materials Database, functional PBE-GGA.

Cell and atoms, written as POSCAR:
```
LaPrHo
1.0
0.000 3.936 3.936
3.936 0.000 3.936
3.936 3.936 0.000
Ho La Pr
1 1 1
Direct
0.000 0.000 0.000
0.250 0.250 0.250
0.750 0.750 0.750
```

Output
Crystal system = cubic
Energy of formation = 653.8 meV per atom
Distance to the lowest polymorph of the same formula = 0 meV per atom

***

Record 15
A geometry-optimized LaHoPu structure. Source: the Open Quantum Materials Database, functional PBE-GGA.

Cell and atoms, written as POSCAR:
```
LaHoPu
1.0
0.000 3.684 3.684
3.684 0.000 3.684
3.684 3.684 0.000
Ho La Pu
1 1 1
Direct
0.250 0.250 0.250
0.000 0.000 0.000
0.750 0.750 0.750
```

Output
Crystal system = cubic
Energy of formation = 718.2 meV per atom
Distance to the lowest polymorph of the same formula = 0 meV per atom

***

Record 16
A geometry-optimized LaHoRe structure. Source: the Open Quantum Materials Database, functional PBE-GGA.

Cell and atoms, written as POSCAR:
```
LaHoRe
1.0
0.000 3.382 3.382
3.382 0.000 3.382
3.382 3.382 0.000
Ho La Re
1 1 1
Direct
0.250 0.250 0.250
0.000 0.000 0.000
0.750 0.750 0.750
```

Output
Crystal system = cubic
Energy of formation = 1198.1 meV per atom

***

Record 17
A geometry-optimized La2HoS3 structure. Source: the Open Quantum Materials Database, functional PBE-GGA.

Cell and atoms, written as POSCAR:
```
La2HoS3
1.0
-2.961 -0.666 2.664
-0.723 -0.366 -3.957
2.571 -9.717 0.429
Ho La S
1 2 3
Direct
0.000 0.000 0.500
0.333 0.667 0.172
0.667 0.333 0.828
0.000 0.000 0.000
0.667 0.333 0.351
0.333 0.667 0.649
```

Output
Crystal system = trigonal
Final energy = -39.44 eV per formula unit

***

Record 18
A geometry-optimized LaHoS2 structure. Source: the Open Quantum Materials Database, functional PBE-GGA.

Cell and atoms, written as POSCAR:
```
LaHoS2
1.0
3.442 -1.993 0.000
3.442 1.993 0.000
-2.308 0.000 6.662
Ho La S
1 1 2
Direct
0.000 0.000 0.000
0.500 0.500 0.500
0.742 0.742 0.227
0.257 0.257 0.773
```

Output
Crystal system = monoclinic
Distance to the lowest polymorph of the same formula = 0 meV per atom

***

Record 19
A geometry-optimized LaHoS2 structure. Source: the Open Quantum Materials Database, functional PBE-GGA.

Cell and atoms, written as POSCAR:
```
LaHoS2
1.0
-0.572 1.509 -3.690
-0.445 -3.729 -1.455
-5.598 0.284 0.984
Ho La S
1 1 2
Direct
0.500 0.500 0.500
0.000 0.000 0.000
0.500 0.500 0.000
0.000 0.000 0.500
```

Output
Crystal system = tetragonal
Distance to the lowest polymorph of the same formula = 63 meV per atom

***

Record 20
A geometry-optimized LaHo2S3 structure. Source: the Open Quantum Materials Database, functional PBE-GGA.

Cell and atoms, written as POSCAR:
```
LaHo2S3
1.0
-3.235 1.937 1.140
-0.022 -2.069 -3.351
-3.034 -7.980 4.947
Ho La S
2 1 3
Direct
0.667 0.333 0.338
0.333 0.667 0.662
0.000 0.000 0.000
0.333 0.667 0.186
0.000 0.000 0.500
0.667 0.333 0.814
```

Output
Crystal system = trigonal
Final energy = -38.73 eV per formula unit

***

Record 21
A geometry-optimized LaHo3S6 structure. Source: the Open Quantum Materials Database, functional PBE-GGA.

Cell and atoms, written as POSCAR:
```
LaHo3S6
1.0
11.063 0.000 0.000
0.000 4.002 0.000
-3.653 0.000 10.744
Ho La S
6 2 12
Direct
0.161 0.750 0.088
0.556 0.250 0.167
0.321 0.250 0.499
0.679 0.750 0.501
0.444 0.750 0.833
0.839 0.250 0.912
0.950 0.250 0.305
0.050 0.750 0.695
0.394 0.750 0.057
0.917 0.750 0.092
0.198 0.250 0.249
0.732 0.750 0.270
0.522 0.250 0.389
0.121 0.750 0.463
0.879 0.250 0.537
0.478 0.750 0.611
0.268 0.250 0.730
0.802 0.750 0.751
0.083 0.250 0.908
0.606 0.250 0.943
```

Output
Crystal system = monoclinic
Final energy = -64.70 eV per formula unit

***

Record 22
A geometry-optimized LaHo3Se6 structure. Source: the Open Quantum Materials Database, functional PBE-GGA.

Cell and atoms, written as POSCAR:
```
LaHo3Se6
1.0
-5.808 -2.130 9.817
-3.457 -0.689 -2.195
4.618 -10.163 -4.081
Ho La Se
6 2 12
Direct
0.159 0.250 0.087
0.558 0.750 0.166
0.680 0.250 0.500
0.320 0.750 0.500
0.442 0.250 0.834
0.841 0.750 0.913
0.951 0.750 0.304
0.049 0.250 0.696
0.392 0.250 0.057
0.916 0.250 0.093
0.198 0.750 0.250
0.734 0.250 0.271
0.520 0.750 0.387
0.120 0.250 0.465
0.880 0.750 0.535
0.480 0.250 0.613
0.266 0.750 0.729
0.802 0.250 0.750
0.084 0.750 0.907
0.608 0.750 0.943
```

Output
Crystal system = monoclinic
Final energy = -58.84 eV per formula unit

***

Record 23
A geometry-optimized La2HoSe3 structure. Source: the Open Quantum Materials Database, functional PBE-GGA.

Cell and atoms, written as POSCAR:
```
La2HoSe3
1.0
4.195 0.000 0.000
-2.098 3.633 0.000
0.000 0.000 10.465
Ho La Se
1 2 3
Direct
0.000 0.000 0.500
0.333 0.667 0.172
0.667 0.333 0.828
0.000 0.000 0.000
0.667 0.333 0.351
0.333 0.667 0.649
```

Output
Crystal system = trigonal
Final energy = -36.35 eV per formula unit

***

| no. | V (Å³/cell) | magnetic moment (μB per cell) |
| --- | --- | --- |
| 1 | 157 | 0.00 |
| 2 | 247 | 0.03 |
| 3 | 164 | 0.02 |
| 4 | 197 | 0.02 |
| 5 | 175 | 0.02 |
| 6 | 89 | 0.00 |
| 7 | 304 | 0.00 |
| 8 | 155 | 0.00 |
| 9 | 309 | 0.01 |
| 10 | 308 | 0.00 |
| 11 | 88 | 0.01 |
| 12 | 262 | 0.01 |
| 13 | 211 | 0.00 |
| 14 | 122 | 0.00 |
| 15 | 100 | 6.87 |
| 16 | 77 | 0.57 |
| 17 | 142 | 0.01 |
| 18 | 91 | 0.00 |
| 19 | 92 | 0.00 |
| 20 | 133 | 0.02 |
| 21 | 476 | 0.01 |
| 22 | 541 | 0.00 |
| 23 | 160 | 0.00 |